A plane-wave DFT calculation with PBE+U was carried out for an optimized crystal structure of Na2CoPbF8.

Lattice parameters (Å, degrees): 5.1172 6.7854 5.1584 90.00 93.33 90.00
Space group P2/m (No. 10)
Symmetry-distinct sites (fractional):
Na1 0.0000 0.2306 0.0000 [2 per cell]
Co1 0.5000 0.0000 0.5000 [1 per cell]
Pb1 0.5000 0.5000 0.5000 [1 per cell]
F1 0.2099 0.5000 0.1970 [2 per cell]
F2 0.2331 0.0000 0.2239 [2 per cell]
F3 0.3131 0.2559 0.6739 [4 per cell]

The final energy is -53.81 eV per cell. The calculated volume comes out at 14.90 A^3/atom.